Au2Br | PBE | relaxed

## Properties
Electronic total energy = -7.6 eV for the cell shown
Formation energy from raw total energies = 0.21 eV/atom

a b c (Å): 3.7334 3.7334 5.5848
angles (deg): 90.00 90.00 120.00
Space group P-3m1 (No. 164)
Asymmetric unit:
Au 0.3333 0.6667 0.3477 [2 per cell]
Br 0.0000 0.0000 0.0000 [1 per cell]